# LaTmPd

A relaxed LaTmPd crystal (PBE, the Alexandria database).

a b c (Å): 7.276 6.439 7.458
angles (deg): 90.00 107.52 90.00
Positions (direct):
La (0.138, 0.131, 0.364)
La (0.138, 0.369, 0.864)
La (0.862, 0.631, 0.136)
La (0.862, 0.869, 0.636)
Tm (0.426, 0.658, 0.299)
Tm (0.426, 0.842, 0.799)
Tm (0.574, 0.158, 0.201)
Tm (0.574, 0.342, 0.701)
Pd (0.189, 0.588, 0.522)
Pd (0.189, 0.912, 0.022)
Pd (0.811, 0.088, 0.978)
Pd (0.811, 0.412, 0.478)

ΔH_f (0 K) in eV/atom: -0.586
Space-group type: No. 14

# La2TmPd2

A relaxed La2TmPd2 crystal (PBE, the Alexandria database).

a b c (Å): 7.961 7.961 4.149
angles (deg): 90.00 90.00 90.00
Positions (direct):
La (0.170, 0.330, 0.000)
La (0.330, 0.830, 0.000)
La (0.670, 0.170, 0.000)
La (0.830, 0.670, 0.000)
Tm (0.000, 0.000, 0.500)
Tm (0.500, 0.500, 0.500)
Pd (0.133, 0.633, 0.500)
Pd (0.367, 0.133, 0.500)
Pd (0.633, 0.867, 0.500)
Pd (0.867, 0.367, 0.500)

ΔH_f (0 K) in eV/atom: -0.688
Space-group type: No. 127

# LaTm2Pd

A relaxed LaTm2Pd crystal (PBE, the Alexandria database).

a b c (Å): 3.899 3.899 27.465
angles (deg): 90.00 90.00 120.00
Positions (direct):
La (0.000, 0.000, 0.000)
La (0.333, 0.667, 0.667)
La (0.667, 0.333, 0.333)
Tm (0.000, 0.000, 0.557)
Tm (0.000, 0.000, 0.771)
Tm (0.333, 0.667, 0.223)
Tm (0.333, 0.667, 0.438)
Tm (0.667, 0.333, 0.104)
Tm (0.667, 0.333, 0.890)
Pd (0.000, 0.000, 0.163)
Pd (0.333, 0.667, 0.830)
Pd (0.667, 0.333, 0.497)

ΔH_f (0 K) in eV/atom: -0.331
Space-group type: No. 160

# LaTm4Pd5

A relaxed LaTm4Pd5 crystal (PBE, the Alexandria database).

a b c (Å): 3.467 3.467 17.865
angles (deg): 90.00 90.00 90.00
Positions (direct):
La (0.000, 0.000, 0.000)
Tm (0.000, 0.000, 0.208)
Tm (0.000, 0.000, 0.403)
Tm (0.000, 0.000, 0.597)
Tm (0.000, 0.000, 0.792)
Pd (0.500, 0.500, 0.119)
Pd (0.500, 0.500, 0.307)
Pd (0.500, 0.500, 0.500)
Pd (0.500, 0.500, 0.693)
Pd (0.500, 0.500, 0.881)

ΔH_f (0 K) in eV/atom: -0.900
Space-group type: No. 123

# LaTm2Pd2

A relaxed LaTm2Pd2 crystal (PBE, the Alexandria database).

a b c (Å): 6.304 7.058 7.722
angles (deg): 95.24 113.95 116.36
Positions (direct):
La (0.117, 0.249, 0.252)
La (0.883, 0.751, 0.748)
Tm (0.173, 0.384, 0.797)
Tm (0.495, 0.117, 0.705)
Tm (0.505, 0.883, 0.295)
Tm (0.827, 0.616, 0.203)
Pd (0.285, 0.665, 0.537)
Pd (0.415, 0.165, 0.038)
Pd (0.585, 0.835, 0.962)
Pd (0.715, 0.335, 0.463)

ΔH_f (0 K) in eV/atom: -0.650
Space-group type: No. 2

# La2TmPd

A relaxed La2TmPd crystal (PBE, the Alexandria database).

a b c (Å): 3.707 3.707 32.342
angles (deg): 90.00 90.00 120.00
Positions (direct):
La (0.000, 0.000, 0.104)
La (0.000, 0.000, 0.896)
La (0.333, 0.667, 0.563)
La (0.333, 0.667, 0.771)
La (0.667, 0.333, 0.229)
La (0.667, 0.333, 0.437)
Tm (0.000, 0.000, 0.000)
Tm (0.333, 0.667, 0.667)
Tm (0.667, 0.333, 0.333)
Pd (0.000, 0.000, 0.500)
Pd (0.333, 0.667, 0.167)
Pd (0.667, 0.333, 0.833)

ΔH_f (0 K) in eV/atom: -0.055
Space-group type: No. 166

# La2TmPd4

A relaxed La2TmPd4 crystal (PBE, the Alexandria database).

a b c (Å): 8.731 8.264 5.113
angles (deg): 77.56 67.56 34.88
Positions (direct):
La (0.139, 0.139, 0.861)
La (0.861, 0.861, 0.139)
Tm (0.500, 0.500, 0.500)
Pd (0.000, 0.000, 0.500)
Pd (0.323, 0.323, 0.677)
Pd (0.500, 0.500, 0.000)
Pd (0.677, 0.677, 0.323)

ΔH_f (0 K) in eV/atom: -0.404
Space-group type: No. 69

# LaTmPd6

A relaxed LaTmPd6 crystal (PBE, the Alexandria database).

a b c (Å): 4.184 4.184 8.251
angles (deg): 90.00 90.00 90.00
Positions (direct):
La (0.000, 0.000, 0.000)
Tm (0.000, 0.000, 0.500)
Pd (0.000, 0.500, 0.260)
Pd (0.000, 0.500, 0.740)
Pd (0.500, 0.000, 0.260)
Pd (0.500, 0.000, 0.740)
Pd (0.500, 0.500, 0.000)
Pd (0.500, 0.500, 0.500)

ΔH_f (0 K) in eV/atom: -0.852
Space-group type: No. 123

Calculated values (eV/atom) of final energy for the records, taken in order: -5.450; -5.630; -5.097; -5.778; -5.501; -4.935; -5.418; -5.921.
Calculated values (Å³ per atom) of calculated volume for the records, taken in order: 27.77; 26.29; 30.13; 21.47; 26.54; 32.07; 27.37; 18.05.